No. 1
# FeP4

FeP4 after structural relaxation (PBE, the Alexandria database).

a b c (Å): 4.5943 4.5943 4.5943
angles (deg): 109.47 109.47 109.47
With the nearest neighbours (Å) after each atom.
Sites, in units of the cell vectors:
Fe1 0.0000 0.0000 0.0000  8 P 2.30
P1 0.5000 0.0000 0.0000  2 Fe 2.30
P2 0.5000 0.5000 0.5000  2 Fe 2.30
P3 0.0000 0.5000 0.0000  2 Fe 2.30
P4 0.0000 0.0000 0.5000  2 Fe 2.30

Calculated values
The total energy is -5.62 eV/atom. The value obtained for the magnetic moment is 0.00 μB per cell. The crystal system is cubic. The value obtained for the formation energy from the elements is 0.400 eV/atom. The calculation puts the volume at 14.930 Å³ per atom.

---

No. 2
# FeP4

FeP4 after structural relaxation (PBE, the Alexandria database).

a b c (Å): 5.7880 5.7880 11.0982
angles (deg): 89.59 89.59 128.20
With the nearest neighbours (Å) after each atom.
Sites, in units of the cell vectors:
Fe1 0.0755 0.9245 0.7500  6 P 2.19-2.26
Fe2 0.9245 0.0755 0.2500  6 P 2.19-2.26
Fe3 0.5000 0.0000 0.5000  6 P 2.20-2.32
Fe4 0.0000 0.5000 0.0000  6 P 2.20-2.32
P1 0.1314 0.9450 0.9500  2 P 2.21-2.27, 2 Fe 2.24-2.25
P2 0.0550 0.8686 0.5500  2 P 2.21-2.27, 2 Fe 2.24-2.25
P3 0.8686 0.0550 0.0500  2 P 2.21-2.27, 2 Fe 2.24-2.25
P4 0.9450 0.1314 0.4500  2 P 2.21-2.27, 2 Fe 2.24-2.25
P5 0.4568 0.6636 0.9759  1 Fe 2.20, 3 P 2.21-2.30
P6 0.3364 0.5432 0.5241  1 Fe 2.20, 3 P 2.21-2.30
P7 0.5432 0.3364 0.0241  1 Fe 2.20, 3 P 2.21-2.30
P8 0.6636 0.4568 0.4759  1 Fe 2.20, 3 P 2.21-2.30
P9 0.6288 0.7745 0.7840  3 P 2.19-2.26, 1 Fe 2.19
P10 0.2255 0.3712 0.7160  3 P 2.19-2.26, 1 Fe 2.19
P11 0.3712 0.2255 0.2160  3 P 2.19-2.26, 1 Fe 2.19
P12 0.7745 0.6288 0.2840  3 P 2.19-2.26, 1 Fe 2.19
P13 0.5296 0.0668 0.7069  2 P 2.26-2.27, 2 Fe 2.26-2.32
P14 0.9332 0.4704 0.7931  2 P 2.26-2.27, 2 Fe 2.26-2.32
P15 0.4704 0.9332 0.2931  2 P 2.26-2.27, 2 Fe 2.26-2.32
P16 0.0668 0.5296 0.2069  2 P 2.26-2.27, 2 Fe 2.26-2.32

Calculated values
The total energy is -6.39 eV/atom. The value obtained for the magnetic moment is 0.00 μB per cell. The crystal system is monoclinic. The value obtained for the formation energy from the elements is -0.369 eV/atom. The calculation puts the volume at 14.606 Å³ per atom.

---

No. 3
# FeP

FeP after structural relaxation (PBE, the Alexandria database).

a b c (Å): 4.1597 5.1433 2.8429
angles (deg): 73.96 70.02 49.49
With the nearest neighbours (Å) after each atom.
Sites, in units of the cell vectors:
Fe1 0.0294 0.9992 0.9857  7 P 2.24-2.51
Fe2 0.8873 0.5842 0.7643  7 P 2.24-2.51
P1 0.5317 0.4793 0.4945  7 Fe 2.24-2.51
P2 0.3850 0.1040 0.2555  7 Fe 2.24-2.51

Calculated values
The total energy is -7.26 eV/atom. The value obtained for the magnetic moment is 0.32 μB per cell. The crystal system is monoclinic. The value obtained for the formation energy from the elements is -0.325 eV/atom. The calculation puts the volume at 10.833 Å³ per atom.

---

No. 4
# FeP

FeP after structural relaxation (PBE, the Alexandria database).

a b c (Å): 3.3332 3.3332 3.3332
angles (deg): 60.00 60.00 60.00
With the nearest neighbours (Å) after each atom.
Sites, in units of the cell vectors:
Fe1 0.0000 0.0000 0.0000  6 P 2.36
P1 0.5000 0.5000 0.5000  6 Fe 2.36

Calculated values
The total energy is -6.90 eV/atom. The value obtained for the magnetic moment is 2.02 μB per cell. The crystal system is cubic. The value obtained for the formation energy from the elements is 0.032 eV/atom. The calculation puts the volume at 13.093 Å³ per atom.

---

No. 5
# FeP4

FeP4 after structural relaxation (PBE, the Alexandria database).

a b c (Å): 5.0566 6.0703 5.7915
angles (deg): 79.89 64.12 66.28
With the nearest neighbours (Å) after each atom.
Sites, in units of the cell vectors:
P1 0.9686 0.6855 0.5294  3 P 2.17-2.27, 1 Fe 2.19
P2 0.5020 0.8145 0.5294  3 P 2.17-2.27, 1 Fe 2.19
P3 0.6774 0.6621 0.1358  2 Fe 2.26-2.32, 2 P 2.27
P4 0.1868 0.8379 0.1358  2 Fe 2.26-2.32, 2 P 2.27
P5 0.3226 0.3379 0.8642  2 Fe 2.26-2.32, 2 P 2.27
P6 0.8132 0.1621 0.8642  2 Fe 2.26-2.32, 2 P 2.27
P7 0.4980 0.1855 0.4706  3 P 2.17-2.27, 1 Fe 2.19
P8 0.0314 0.3145 0.4706  3 P 2.17-2.27, 1 Fe 2.19
Fe1 0.0867 0.7500 0.8267  6 P 2.19-2.32
Fe2 0.9133 0.2500 0.1733  6 P 2.19-2.32

Calculated values
The total energy is -6.38 eV/atom. The value obtained for the magnetic moment is 0.00 μB per cell. The crystal system is monoclinic. The value obtained for the formation energy from the elements is -0.357 eV/atom. The calculation puts the volume at 14.643 Å³ per atom.

---

No. 6
# FeP3

FeP3 after structural relaxation (PBE, the Alexandria database).

a b c (Å): 2.5428 2.5428 10.3359
angles (deg): 90.00 90.00 90.00
With the nearest neighbours (Å) after each atom.
Sites, in units of the cell vectors:
Fe1 0.0000 0.0000 0.0000  8 P 2.37, 4 Fe 2.54
P1 0.5000 0.5000 0.8512  4 Fe 2.37, 4 P 2.54
P2 0.0000 0.0000 0.5000  4 P 2.54
P3 0.5000 0.5000 0.1488  4 Fe 2.37, 4 P 2.54

Calculated values
The total energy is -5.94 eV/atom. For the energy above the most stable polymorph in this dataset, the calculation gives 0.3038 eV/atom. The value obtained for the magnetic moment is 0.00 μB per cell. The crystal system is tetragonal. The value obtained for the formation energy from the elements is 0.229 eV/atom. The calculation puts the volume at 16.708 Å³ per atom.

---

No. 7
# FeP

FeP after structural relaxation (PBE, the Alexandria database).

a b c (Å): 6.0897 6.0897 6.0897
angles (deg): 90.00 90.00 90.00
With the nearest neighbours (Å) after each atom.
Sites, in units of the cell vectors:
Fe1 0.2500 0.5000 0.0000  4 P 2.15
Fe2 0.7500 0.5000 0.0000  4 P 2.15
Fe3 0.5000 0.0000 0.2500  4 P 2.15
Fe4 0.5000 0.0000 0.7500  4 P 2.15
Fe5 0.0000 0.2500 0.5000  4 P 2.15
Fe6 0.0000 0.7500 0.5000  4 P 2.15
P1 0.2500 0.0000 0.5000  4 Fe 2.15
P2 0.7500 0.0000 0.5000  4 Fe 2.15
P3 0.0000 0.5000 0.2500  4 Fe 2.15
P4 0.0000 0.5000 0.7500  4 Fe 2.15
P5 0.5000 0.2500 0.0000  4 Fe 2.15
P6 0.5000 0.7500 0.0000  4 Fe 2.15

Calculated values
The total energy is -6.83 eV/atom. The value obtained for the magnetic moment is 0.48 μB per cell. The crystal system is cubic. The value obtained for the formation energy from the elements is 0.110 eV/atom. The calculation puts the volume at 18.819 Å³ per atom.

---

No. 8
# FeP

FeP after structural relaxation (PBE, the Alexandria database).

a b c (Å): 8.3665 8.3665 3.8303
angles (deg): 90.00 90.00 90.00
With the nearest neighbours (Å) after each atom.
Sites, in units of the cell vectors:
Fe1 0.3481 0.1791 0.0000  4 P 2.10-2.19
Fe2 0.6519 0.8209 0.0000  4 P 2.10-2.19
Fe3 0.8209 0.3481 0.0000  4 P 2.10-2.19
Fe4 0.1791 0.6519 0.0000  4 P 2.10-2.19
Fe5 0.8481 0.6791 0.5000  4 P 2.10-2.19
Fe6 0.1519 0.3209 0.5000  4 P 2.10-2.19
Fe7 0.3209 0.8481 0.5000  4 P 2.10-2.19
Fe8 0.6791 0.1519 0.5000  4 P 2.10-2.19
P1 0.4092 0.7562 0.0000  4 Fe 2.10-2.19
P2 0.5908 0.2438 0.0000  4 Fe 2.10-2.19
P3 0.2438 0.4092 0.0000  4 Fe 2.10-2.19
P4 0.7562 0.5908 0.0000  4 Fe 2.10-2.19
P5 0.9092 0.2562 0.5000  4 Fe 2.10-2.19
P6 0.0908 0.7438 0.5000  4 Fe 2.10-2.19
P7 0.7438 0.9092 0.5000  4 Fe 2.10-2.19
P8 0.2562 0.0908 0.5000  4 Fe 2.10-2.19

Calculated values
The total energy is -7.00 eV/atom. The value obtained for the magnetic moment is 5.48 μB per cell. The crystal system is tetragonal. The value obtained for the formation energy from the elements is -0.067 eV/atom. The calculation puts the volume at 16.757 Å³ per atom.

---

No. 9
# FeP

FeP after structural relaxation (PBE, the Alexandria database).

a b c (Å): 3.6533 3.6533 13.0862
angles (deg): 90.00 90.00 120.00
With the nearest neighbours (Å) after each atom.
Sites, in units of the cell vectors:
P1 0.0000 0.0000 0.1063  4 Fe 2.21-2.22
P2 0.0000 0.0000 0.8937  4 Fe 2.21-2.22
P3 0.3333 0.6667 0.4395  4 Fe 2.20-2.22
P4 0.3333 0.6667 0.2266  4 Fe 2.21-2.22
P5 0.6667 0.3333 0.7734  4 Fe 2.21-2.22
P6 0.6667 0.3333 0.5605  4 Fe 2.20-2.22
Fe1 0.0000 0.0000 0.2758  4 P 2.21-2.22
Fe2 0.0000 0.0000 0.7242  4 P 2.21-2.22
Fe3 0.3333 0.6667 0.6091  4 P 2.20-2.22
Fe4 0.3333 0.6667 0.0570  4 P 2.21-2.22
Fe5 0.6667 0.3333 0.9430  4 P 2.21-2.22
Fe6 0.6667 0.3333 0.3909  4 P 2.20-2.22

Calculated values
The total energy is -7.01 eV/atom. The value obtained for the magnetic moment is 0.00 μB per cell. The crystal system is trigonal. The value obtained for the formation energy from the elements is -0.069 eV/atom. The calculation puts the volume at 12.605 Å³ per atom.

---

No. 10
# FeP3

FeP3 after structural relaxation (PBE, the Alexandria database).

a b c (Å): 3.7651 3.7651 3.7651
angles (deg): 90.00 90.00 90.00
With the nearest neighbours (Å) after each atom.
Sites, in units of the cell vectors:
Fe1 0.0000 0.0000 0.0000  12 P 2.66
P1 0.0000 0.5000 0.5000  4 Fe 2.66, 8 P 2.66
P2 0.5000 0.0000 0.5000  4 Fe 2.66, 8 P 2.66
P3 0.5000 0.5000 0.0000  4 Fe 2.66, 8 P 2.66

Calculated values
The total energy is -5.50 eV/atom. For the energy above the most stable polymorph in this dataset, the calculation gives 0.7442 eV/atom. The value obtained for the magnetic moment is 1.87 μB per cell. The crystal system is cubic. The value obtained for the formation energy from the elements is 0.669 eV/atom. The calculation puts the volume at 13.344 Å³ per atom.

---

No. 11
# FeP3

FeP3 after structural relaxation (PBE, the Alexandria database).

a b c (Å): 6.5044 6.5044 3.2016
angles (deg): 90.00 90.00 116.86
With the nearest neighbours (Å) after each atom.
Sites, in units of the cell vectors:
Fe1 0.4406 0.5594 0.2500  2 Fe 2.07, 2 P 2.17
Fe2 0.5594 0.4406 0.7500  2 Fe 2.07, 2 P 2.17
P1 0.9153 0.0847 0.7500  6 P 2.47
P2 0.0847 0.9153 0.2500  6 P 2.47
P3 0.9333 0.5902 0.7500  1 Fe 2.17, 2 P 2.37
P4 0.0667 0.4098 0.2500  1 Fe 2.17, 2 P 2.37
P5 0.4098 0.0667 0.7500  1 Fe 2.17, 2 P 2.37
P6 0.5902 0.9333 0.2500  1 Fe 2.17, 2 P 2.37

Calculated values
The total energy is -5.81 eV/atom. For the energy above the most stable polymorph in this dataset, the calculation gives 0.4428 eV/atom. The value obtained for the magnetic moment is 0.00 μB per cell. The crystal system is orthorhombic. The value obtained for the formation energy from the elements is 0.368 eV/atom. The calculation puts the volume at 15.104 Å³ per atom.

---

No. 12
# FeP5

FeP5 after structural relaxation (PBE, the Alexandria database).

a b c (Å): 6.5898 6.5898 4.1310
angles (deg): 90.00 90.00 148.34
With the nearest neighbours (Å) after each atom.
Sites, in units of the cell vectors:
Fe1 0.0235 0.9765 0.0000  6 P 2.26-2.48
P1 0.7221 0.2779 0.5000  4 P 2.35-2.36
P2 0.6320 0.3680 0.0000  2 Fe 2.26, 2 P 2.36
P3 0.4642 0.5358 0.5000  4 P 2.27-2.51
P4 0.3890 0.6110 0.0000  2 P 2.27, 2 Fe 2.48
P5 0.1026 0.8974 0.5000  2 Fe 2.30, 4 P 2.35-2.51

Calculated values
The total energy is -5.70 eV/atom. For the energy above the most stable polymorph in this dataset, the calculation gives 0.2402 eV/atom. The value obtained for the magnetic moment is 0.00 μB per cell. The crystal system is orthorhombic. The value obtained for the formation energy from the elements is 0.214 eV/atom. The calculation puts the volume at 15.692 Å³ per atom.

---

Which of these has the highest magnetic moment? number 8

---

Number 8 is which compound? FeP